1.
## ReSiPd (PBE-GGA)

Data for a geometry-optimized ReSiPd structure.

Its density is 12.1 g/cm3. Its density of states at the Fermi level is 1.80 states/eV per cell. As for the total magnetization: 0.00 μB/f.u. As for the formation energy (no corrections): -30 kJ per mole of atoms. The symmetry is I4/mmm (139).

abc: 2.916 2.916 10.582
angles: 97.92 97.92 90.00
Positions (direct):
Re 0.292 0.292 0.585
Re 0.708 0.708 0.415
Si 0.132 0.132 0.264
Si 0.868 0.868 0.736
Pd 0.564 0.564 0.128
Pd 0.436 0.436 0.872

---

2.
## Re3SiPd (PBE-GGA)

Data for a geometry-optimized Re3SiPd structure.

Its density is 13.7 g/cm3. Its density of states at the Fermi level is 3.89 states/eV per cell. As for the total magnetization: 0.00 μB/f.u. The calculation puts the offset from the most stable computed form at 0.000 eV/atom. As for the formation energy (no corrections): 123 kJ per mole of atoms. The symmetry is Pm-3m (221).

abc: 4.384 4.384 4.384
angles: 90.00 90.00 90.00
Positions (direct):
Re 0.000 0.500 0.000
Re 0.000 0.000 0.500
Re 0.500 0.000 0.000
Si 0.000 0.000 0.000
Pd 0.500 0.500 0.500

---

3.
## SrReSiPd2 (PBE-GGA)

Data for a geometry-optimized SrReSiPd2 structure.

Its density is 6.8 g/cm3. Its density of states at the Fermi level is 10.23 states/eV per cell. As for the total magnetization: 0.34 μB/f.u. As for the formation energy (no corrections): 226 kJ per mole of atoms. The symmetry is P4/mmm (123).

abc: 4.857 5.317 4.857
angles: 90.00 90.00 90.00
Positions (direct):
Re 0.500 0.500 0.500
Si 0.000 0.500 0.000
Pd 0.000 0.000 0.500
Pd 0.500 0.000 0.000
Sr 0.000 0.000 0.000

---

4.
## V2ReSiPd (PBE-GGA)

Data for a geometry-optimized V2ReSiPd structure.

Its density is 7.9 g/cm3. Its density of states at the Fermi level is 7.11 states/eV per cell. As for the total magnetization: 0.35 μB/f.u. As for the formation energy (no corrections): 142 kJ per mole of atoms. The symmetry is P4/mmm (123).

abc: 4.560 4.290 4.560
angles: 90.00 90.00 90.00
Positions (direct):
Re 0.500 0.500 0.500
Si 0.000 0.500 0.000
Pd 0.000 0.000 0.000
V 0.000 0.000 0.500
V 0.500 0.000 0.000

---

5.
## YReSiPd2 (PBE-GGA)

Data for a geometry-optimized YReSiPd2 structure.

Its density is 8.5 g/cm3. Its density of states at the Fermi level is 4.76 states/eV per cell. As for the total magnetization: 0.00 μB/f.u. As for the formation energy (no corrections): 67 kJ per mole of atoms. The symmetry is P4/mmm (123).

abc: 4.413 5.192 4.413
angles: 90.00 90.00 90.00
Positions (direct):
Y 0.000 0.500 0.000
Re 0.500 0.500 0.500
Si 0.000 0.000 0.000
Pd 0.000 0.000 0.500
Pd 0.500 0.000 0.000

---

6.
## Re2Sn2Pd (PBE-GGA)

Data for a geometry-optimized Re2Sn2Pd structure.

Its density is 11.6 g/cm3. Its density of states at the Fermi level is 4.53 states/eV per cell. As for the total magnetization: 0.00 μB/f.u. The calculation puts the offset from the most stable computed form at 0.000 eV/atom. Its formation energy is 11.0 kcal/mol of atoms. The symmetry is I4/mmm (139).

abc: 3.524 3.524 8.603
angles: 78.18 78.18 90.00
Positions (direct):
Re 0.750 0.250 0.500
Re 0.250 0.750 0.500
Sn 0.396 0.396 0.209
Sn 0.604 0.604 0.791
Pd 0.000 0.000 0.000

---

7.
## ReSnPd2 (PBE-GGA)

Data for a geometry-optimized ReSnPd2 structure.

Its density is 11.8 g/cm3. Its density of states at the Fermi level is 7.64 states/eV per cell. As for the total magnetization: 1.84 μB/f.u. Its formation energy is 11.1 kcal/mol of atoms. The symmetry is I-42d (122).

abc: 3.942 3.942 9.780
angles: 78.37 78.37 90.00
Positions (direct):
Re 0.000 0.000 0.000
Re 0.750 0.250 0.500
Sn 0.500 0.500 0.000
Sn 0.250 0.750 0.500
Pd 0.633 0.125 0.250
Pd 0.117 0.625 0.250
Pd 0.375 0.367 0.750
Pd 0.875 0.883 0.750

---

8.
## Re2Sn2Pd (PBE-GGA)

Data for a geometry-optimized Re2Sn2Pd structure.

Its density is 12.5 g/cm3. Its density of states at the Fermi level is 10.94 states/eV per cell. As for the total magnetization: 0.00 μB/f.u. The calculation puts the offset from the most stable computed form at 0.123 eV/atom. Its formation energy is 13.8 kcal/mol of atoms. The symmetry is P4/mbm (127).

abc: 7.889 7.889 3.048
angles: 90.00 90.00 90.00
Positions (direct):
Re 0.110 0.610 0.500
Re 0.610 0.890 0.500
Re 0.890 0.390 0.500
Re 0.390 0.110 0.500
Sn 0.318 0.818 0.000
Sn 0.818 0.682 0.000
Sn 0.682 0.182 0.000
Sn 0.182 0.318 0.000
Pd 0.000 0.000 0.000
Pd 0.500 0.500 0.000

---

What did the seventh record say?
## ReSnPd2 (PBE-GGA)

Data for a geometry-optimized ReSnPd2 structure.

Its density is 11.8 g/cm3. Its density of states at the Fermi level is 7.64 states/eV per cell. As for the total magnetization: 1.84 μB/f.u. Its formation energy is 11.1 kcal/mol of atoms. The symmetry is I-42d (122).

abc: 3.942 3.942 9.780
angles: 78.37 78.37 90.00
Positions (direct):
Re 0.000 0.000 0.000
Re 0.750 0.250 0.500
Sn 0.500 0.500 0.000
Sn 0.250 0.750 0.500
Pd 0.633 0.125 0.250
Pd 0.117 0.625 0.250
Pd 0.375 0.367 0.750
Pd 0.875 0.883 0.750

---

Which of these has the highest density? Re3SiPd